Crystalline TaCdOs2 at its relaxed geometry. Source: Alexandria via LeMat-Bulk, functional PBE.

Lattice parameters (Å, degrees): 2.829 2.829 9.161 90.00 90.00 113.12
Atoms (fractional coordinates):
Os (0.000, 0.000, 0.020)
Os (0.000, 0.000, 0.480)
Ta (0.500, 0.500, 0.250)
Cd (0.500, 0.500, 0.750)

- Final energy: -34.20 eV for the cell shown
- D(E_F): 2.46 states/eV/f.u.

=====

Crystalline TaCdOs2 at its relaxed geometry. Source: Alexandria via LeMat-Bulk, functional PBE.

Lattice parameters (Å, degrees): 3.122 4.793 4.414 90.00 90.00 90.00
Atoms (fractional coordinates):
Ta (0.500, 0.000, 0.500)
Cd (0.000, 0.500, 0.500)
Os (0.500, 0.500, 0.000)
Os (0.000, 0.000, 0.000)

- Final energy: -32.95 eV for the cell shown
- D(E_F): 4.58 states/eV/f.u.

=====

Crystalline TaCdOs2 at its relaxed geometry. Source: Alexandria via LeMat-Bulk, functional PBE.

Lattice parameters (Å, degrees): 7.376 7.376 5.898 51.29 51.29 90.00
Atoms (fractional coordinates):
Os (0.875, 0.914, 0.750)
Os (0.375, 0.336, 0.750)
Os (0.664, 0.125, 0.250)
Os (0.086, 0.625, 0.250)
Ta (0.000, 0.000, 0.000)
Ta (0.750, 0.250, 0.500)
Cd (0.500, 0.500, 0.000)
Cd (0.250, 0.750, 0.500)

- Final energy: -63.68 eV for the cell shown
- D(E_F): 4.01 states/eV/f.u.

=====

Crystalline TaCdOs2 at its relaxed geometry. Source: Alexandria via LeMat-Bulk, functional PBE.

Lattice parameters (Å, degrees): 9.499 9.499 9.499 17.39 17.39 17.39
Atoms (fractional coordinates):
Os (0.994, 0.994, 0.994)
Os (0.506, 0.506, 0.506)
Cd (0.750, 0.750, 0.750)
Ta (0.250, 0.250, 0.250)

- Final energy: -34.24 eV for the cell shown
- D(E_F): 3.71 states/eV/f.u.

=====

Crystalline TaCdOs at its relaxed geometry. Source: Alexandria via LeMat-Bulk, functional PBE.

Lattice parameters (Å, degrees): 5.300 5.300 5.300 145.68 140.23 53.53
Atoms (fractional coordinates):
Os (0.314, 0.314, 0.000)
Cd (0.998, 0.998, 0.000)
Ta (0.688, 0.688, 0.000)

- Energy above the lowest structure with this stoichiometry: 9 meV/atom
- D(E_F): 2.34 states/eV/f.u.

=====

Crystalline TaCdOs at its relaxed geometry. Source: Alexandria via LeMat-Bulk, functional PBE.

Lattice parameters (Å, degrees): 4.551 4.551 2.894 90.00 90.00 120.00
Atoms (fractional coordinates):
Cd (0.000, 0.000, 0.014)
Ta (0.333, 0.667, 0.610)
Os (0.667, 0.333, 0.376)

- Energy above the lowest structure with this stoichiometry: 102 meV/atom
- D(E_F): 1.94 states/eV/f.u.

=====

Crystalline TaCdOs2 at its relaxed geometry. Source: Alexandria via LeMat-Bulk, functional PBE.

Lattice parameters (Å, degrees): 3.366 4.408 4.408 90.00 90.00 90.00
Atoms (fractional coordinates):
Cd (0.500, 0.000, 0.500)
Os (0.000, 0.000, 0.000)
Os (0.000, 0.500, 0.500)
Ta (0.500, 0.500, 0.000)

- Final energy: -34.19 eV for the cell shown
- D(E_F): 4.10 states/eV/f.u.

=====

Crystalline TaCdOs3 at its relaxed geometry. Source: Alexandria via LeMat-Bulk, functional PBE.

Lattice parameters (Å, degrees): 4.685 4.685 4.685 90.00 90.00 90.00
Atoms (fractional coordinates):
Cd (0.000, 0.000, 0.000)
Os (0.000, 0.000, 0.500)
Os (0.000, 0.500, 0.000)
Os (0.500, 0.000, 0.000)
Ta (0.500, 0.500, 0.500)

- Energy above the lowest structure with this stoichiometry: 803 meV/atom
- D(E_F): 3.90 states/eV/f.u.

=====

Question: The highest D(E_F) belongs to which entry?
Answer: number 2

=====

Please write out number 1 again, unchanged.
Crystalline TaCdOs2 at its relaxed geometry. Source: Alexandria via LeMat-Bulk, functional PBE.

Lattice parameters (Å, degrees): 2.829 2.829 9.161 90.00 90.00 113.12
Atoms (fractional coordinates):
Os (0.000, 0.000, 0.020)
Os (0.000, 0.000, 0.480)
Ta (0.500, 0.500, 0.250)
Cd (0.500, 0.500, 0.750)

- Final energy: -34.20 eV for the cell shown
- D(E_F): 2.46 states/eV/f.u.

=====

Question: Which of these has the highest D(E_F)?
Answer: number 2